Record 1
4
Lattice="-3.105 3.035 0.230 -2.544 -2.768 2.184 1.762 1.503 3.958" Properties=species:S:1:pos:R:3 comment="MgZr2Pb | the Alexandria database | PBEsol | relaxed" density_g_cm3=7.9 e_form_mev_per_atom=-164.2 dos_ef_per_ev_cell=3.3 pbc="T T T"
Pb 0.881 0.752 1.979
Mg -1.944 0.885 3.186
Zr -1.272 -1.384 1.092
Zr -1.553 1.518 0.115

Record 2
4
Lattice="4.416 0.000 0.000 2.208 3.824 0.000 2.208 1.275 3.605" Properties=species:S:1:pos:R:3 comment="LiNbMo2 | the Alexandria database | PBEsol | relaxed" density_g_cm3=8.0 e_form_mev_per_atom=508.7 dos_ef_per_ev_cell=6.1 pbc="T T T"
Mo 2.208 1.275 0.901
Mo 6.623 3.824 2.704
Nb 4.416 2.549 1.803
Li 0.000 0.000 0.000

Record 3
4
Lattice="4.395 0.000 0.000 2.197 3.806 0.000 2.197 1.269 3.588" Properties=species:S:1:pos:R:3 comment="SiGeP2 | the Alexandria database | PBEsol | relaxed" density_g_cm3=4.5 formation_energy_uncorrected_kcal_per_mol_atoms=9.6 dos_ef_per_ev_cell=1.4 pbc="T T T"
P 2.197 1.269 0.897
P 6.592 3.806 2.691
Ge 4.395 2.537 1.794
Si 0.000 0.000 0.000

Record 4
5
Lattice="-0.533 -4.971 0.840 4.248 -0.897 -2.617 2.826 0.447 4.433" Properties=species:S:1:pos:R:3 comment="HfFeAsBr2 | the Alexandria database | PBEsol | relaxed" density_g_cm3=5.7 formation_energy_uncorrected_kcal_per_mol_atoms=8.2 dos_ef_per_ev_cell=7.9 pbc="T T T"
As 1.413 0.223 2.217
Hf 0.000 0.000 0.000
Fe 3.271 -2.711 1.328
Br 2.124 -0.449 -1.309
Br -0.266 -2.486 0.420

Record 5
6
Lattice="2.834 0.000 0.000 -1.417 6.074 -0.099 0.000 -2.831 7.743" Properties=species:S:1:pos:R:3 comment="Hg5Au | the Alexandria database | PBEsol | relaxed" density_g_cm3=15.0 e_form_mev_per_atom=41.7 dos_ef_per_ev_cell=1.7 pbc="T T T"
Au 1.417 3.064 7.221
Hg 1.417 -0.743 6.096
Hg 0.000 1.873 4.815
Hg 1.417 4.478 3.347
Hg 1.417 1.011 1.983
Hg 0.000 3.625 0.697

Record 6
4
Lattice="-2.018 -0.519 -2.889 -0.060 -5.012 0.943 -4.057 1.802 2.511" Properties=species:S:1:pos:R:3 comment="Sb2MoPb | the Alexandria database | PBEsol | relaxed" density_g_cm3=10.1 formation_energy_uncorrected_kcal_per_mol_atoms=14.3 dos_ef_per_ev_cell=3.7 pbc="T T T"
Mo -1.009 -0.260 -1.444
Pb -3.068 -1.865 0.282
Sb -0.030 -2.506 0.471
Sb -2.029 0.901 1.256

Record 7
5
Lattice="4.309 0.000 0.000 0.000 4.309 0.000 -2.155 -2.155 4.975" Properties=species:S:1:pos:R:3 comment="SrGa2Cu2 | the Alexandria database | PBEsol | relaxed" density_g_cm3=6.4 e_form_mev_per_atom=-291.7 dos_ef_per_ev_cell=2.7 pbc="T T T"
Sr 0.000 0.000 0.000
Ga 0.000 0.000 3.643
Ga 2.155 2.155 1.332
Cu 0.000 2.155 2.488
Cu 2.155 0.000 2.488

Record 8
5
Lattice="-5.708 0.235 1.176 -1.048 -3.756 -4.338 0.588 -4.496 3.752" Properties=species:S:1:pos:R:3 comment="KNiAsBr2 | the Alexandria database | PBEsol | relaxed" de_polymorph_ev_per_atom=1.5181 density_g_cm3=2.8 formation_energy_uncorrected_kcal_per_mol_atoms=25.0 dos_ef_per_ev_cell=13.2 pbc="T T T"
Ni -3.084 -4.009 0.295
As 0.294 -2.248 1.876
K 0.000 0.000 0.000
Br -0.524 -1.878 -2.169
Br -2.854 0.117 0.588

Record 9
4
Lattice="2.788 0.000 0.000 0.000 4.835 -0.055 -1.394 -1.953 4.823" Properties=species:S:1:pos:R:3 comment="CoHg2Os | the Alexandria database | PBEsol | relaxed" de_polymorph_ev_per_atom=0.0000 density_g_cm3=16.7 e_form_mev_per_atom=653.8 dos_ef_per_ev_cell=4.7 pbc="T T T"
Co 1.394 -0.053 2.657
Os 0.000 0.728 4.495
Hg 0.000 0.241 0.196
Hg 0.000 2.430 2.217

Record 10
4
Lattice="-0.281 0.535 -2.643 -3.698 0.135 0.420 0.308 5.252 1.031" Properties=species:S:1:pos:R:3 comment="MnMoRh2 | the Alexandria database | PBEsol | relaxed" de_polymorph_ev_per_atom=0.0493 density_g_cm3=10.9 e_form_mev_per_atom=-98.4 dos_ef_per_ev_cell=4.3 pbc="T T T"
Mo -1.835 2.961 -0.596
Mn -1.990 0.335 -1.111
Rh 0.233 3.969 0.779
Rh 0.075 1.283 0.252

Record 11
8
Lattice="-1.413 3.428 2.271 -3.793 1.121 -4.051 -3.344 -3.400 3.052" Properties=species:S:1:pos:R:3 comment="Mg3Ag5 | the Alexandria database | PBEsol | relaxed" density_g_cm3=7.3 e_form_mev_per_atom=-195.8 dos_ef_per_ev_cell=2.0 pbc="T T T"
Ag 0.000 0.000 0.000
Ag -1.896 0.561 -2.026
Ag -1.672 -1.700 1.526
Ag -5.902 0.055 0.408
Ag -2.647 1.095 0.864
Mg -3.568 -1.139 -0.500
Mg -4.397 1.810 -1.305
Mg -4.152 -0.660 2.576

Record 12
5
Lattice="-3.096 -2.846 3.026 -1.113 -3.107 -4.061 4.045 -3.077 1.245" Properties=species:S:1:pos:R:3 comment="SbIrSe2Br | the Alexandria database | PBEsol | relaxed" density_g_cm3=6.5 formation_energy_uncorrected_kcal_per_mol_atoms=33.1 dos_ef_per_ev_cell=9.3 pbc="T T T"
Sb 0.000 0.000 0.000
Ir -0.082 -4.515 0.105
Se 2.023 -1.538 0.623
Se -0.556 -1.554 -2.030
Br -1.548 -1.423 1.513

Record 13
5
Lattice="3.088 0.000 0.000 0.000 3.088 0.000 -1.544 -1.544 6.817" Properties=species:S:1:pos:R:3 comment="Mn2Cu2Au | the Alexandria database | PBEsol | relaxed" density_g_cm3=11.1 e_form_mev_per_atom=460.4 dos_ef_per_ev_cell=3.6 pbc="T T T"
Mn 0.000 1.544 3.409
Mn 1.544 0.000 3.409
Au 0.000 0.000 0.000
Cu 0.000 0.000 5.389
Cu 1.544 1.544 1.428

Record 14
6
Lattice="-1.702 -2.362 5.291 -4.412 -4.120 0.188 1.296 -5.755 1.294" Properties=species:S:1:pos:R:3 comment="BaMg4Zr | the Alexandria database | PBEsol | relaxed" density_g_cm3=3.5 e_form_mev_per_atom=184.2 dos_ef_per_ev_cell=6.2 pbc="T T T"
Ba 0.000 0.000 0.000
Mg -1.818 -4.618 2.556
Mg -1.182 -7.441 3.191
Mg -2.653 -5.777 5.152
Mg -3.982 -6.639 2.648
Zr -3.613 -9.178 5.080

Record 15
8
Lattice="5.607 0.000 0.000 2.804 6.812 0.000 2.804 0.000 6.812" Properties=species:S:1:pos:R:3 comment="AuICl2 | the Alexandria database | PBEsol | relaxed" de_polymorph_ev_per_atom=0.0000 density_g_cm3=5.0 formation_energy_uncorrected_kcal_per_mol_atoms=2.3 dos_ef_per_ev_cell=6.8 pbc="T T T"
I 2.804 0.000 0.000
I 4.205 3.406 3.406
Au 0.000 0.000 0.000
Au 7.009 3.406 3.406
Cl 6.308 1.703 1.703
Cl 6.308 5.109 5.109
Cl 7.710 1.703 5.109
Cl 7.710 5.109 1.703

Record 16
4
Lattice="3.463 0.000 0.000 0.000 3.463 0.000 0.000 0.000 7.913" Properties=species:S:1:pos:R:3 comment="Y2TlSe | the Alexandria database | PBEsol | relaxed" de_polymorph_ev_per_atom=0.1722 density_g_cm3=8.1 formation_energy_uncorrected_kcal_per_mol_atoms=-22.6 dos_ef_per_ev_cell=3.9 pbc="T T T"
Se 1.731 1.731 0.000
Tl 1.731 1.731 3.957
Y 0.000 0.000 6.111
Y 0.000 0.000 1.802

Record 17
5
Lattice="4.855 0.000 0.000 0.000 4.855 0.000 -2.427 -2.427 7.218" Properties=species:S:1:pos:R:3 comment="KNa2In2 | the Alexandria database | PBEsol | relaxed" de_polymorph_ev_per_atom=0.0795 density_g_cm3=3.1 e_form_mev_per_atom=24.5 dos_ef_per_ev_cell=3.1 pbc="T T T"
Na 0.000 2.427 3.609
Na 2.427 0.000 3.609
K 0.000 0.000 0.000
In 0.000 0.000 5.799
In 2.427 2.427 1.419

Record 18
4
Lattice="-3.237 -0.271 -2.457 -3.666 -0.864 1.550 -2.889 2.868 0.115" Properties=species:S:1:pos:R:3 comment="CrFe2Mo | the Alexandria database | PBEsol | relaxed" de_polymorph_ev_per_atom=0.0786 density_g_cm3=9.0 e_form_mev_per_atom=204.7 dos_ef_per_ev_cell=5.3 pbc="T T T"
Cr 0.000 0.000 0.000
Fe -2.448 0.433 -0.198
Fe -7.344 1.300 -0.594
Mo -4.896 0.866 -0.396

Record 19
10
Lattice="4.725 0.000 0.000 0.000 6.950 0.000 0.000 0.000 6.950" Properties=species:S:1:pos:R:3 comment="Na2CdAs2 | the Alexandria database | PBEsol | relaxed" density_g_cm3=4.5 e_form_mev_per_atom=-286.9 dos_ef_per_ev_cell=1.2 pbc="T T T"
Na 2.362 1.181 4.656
Na 2.362 4.656 5.770
Na 2.362 5.770 2.295
Na 2.362 2.295 1.181
As 0.000 2.582 6.057
As 0.000 6.057 4.369
As 0.000 4.369 0.894
As 0.000 0.894 2.582
Cd 0.000 0.000 0.000
Cd 0.000 3.475 3.475

Record 20
2
Lattice="-1.147 -2.677 0.975 2.145 -0.119 2.196 -1.876 1.501 1.914" Properties=species:S:1:pos:R:3 comment="MgBe | the Alexandria database | PBEsol | relaxed" de_polymorph_ev_per_atom=0.0000 density_g_cm3=1.9 e_form_mev_per_atom=386.0 dos_ef_per_ev_cell=0.6 pbc="T T T"
Be 0.000 0.000 0.000
Mg -0.439 -0.648 2.542